Entry from Alexandria: an optimized crystal structure of Ag4Au (GGA-PBE).

electronic total energy = -2.575 eV/atom
energy above the lowest structure with this stoichiometry = 0.382 eV/atom
crystal system = cubic
ΔE_f = 362 meV per atom

Cell: 6.195 6.195 6.195 Å, 90.00 90.00 90.00°
Positions (direct):
1 Ag 0.250 0.250 0.250
2 Ag 0.250 0.250 0.750
3 Ag 0.250 0.750 0.250
4 Ag 0.250 0.750 0.750
5 Ag 0.750 0.250 0.250
6 Ag 0.750 0.250 0.750
7 Ag 0.750 0.750 0.250
8 Ag 0.750 0.750 0.750
9 Au 0.000 0.000 0.000
10 Au 0.500 0.500 0.500

Entry from Alexandria: an optimized crystal structure of LaZn2Au (GGA-PBE).

electronic total energy = -2.779 eV/atom
crystal system = monoclinic
ΔE_f = -91 meV per atom

Cell: 5.843 10.894 4.230 Å, 90.00 133.18 90.00°
Positions (direct):
1 La 0.000 0.000 0.000
2 La 0.500 0.500 0.000
3 Zn 0.250 0.250 0.500
4 Zn 0.250 0.750 0.500
5 Zn 0.750 0.250 0.500
6 Zn 0.750 0.750 0.500
7 Au 0.000 0.500 0.000
8 Au 0.500 0.000 0.000

Entry from Alexandria: an optimized crystal structure of Cr2Co5H2 (GGA-PBE).

electronic total energy = -6.785 eV/atom
crystal system = monoclinic

Cell: 4.384 4.384 5.592 Å, 96.75 96.75 48.06°
Positions (direct):
1 Cr 0.064 0.064 0.198
2 Cr 0.936 0.936 0.802
3 Co 0.212 0.212 0.646
4 Co 0.361 0.361 0.068
5 Co 0.500 0.500 0.500
6 Co 0.639 0.639 0.932
7 Co 0.788 0.788 0.354
8 H 0.291 0.291 0.361
9 H 0.709 0.709 0.639

Entry from Alexandria: an optimized crystal structure of YCo2Pb (GGA-PBE).

electronic total energy = -6.122 eV/atom
crystal system = orthorhombic
ΔE_f = -26 meV per atom

Cell: 3.922 4.144 9.443 Å, 90.00 90.00 90.00°
Positions (direct):
1 Y 0.000 0.000 0.000
2 Y 0.000 0.500 0.500
3 Co 0.000 0.000 0.296
4 Co 0.000 0.500 0.796
5 Co 0.500 0.000 0.413
6 Co 0.500 0.500 0.913
7 Pb 0.500 0.000 0.705
8 Pb 0.500 0.500 0.205

Entry from Alexandria: an optimized crystal structure of LiSn6Pb2 (GGA-PBE).

electronic total energy = -3.713 eV/atom
crystal system = hexagonal
ΔE_f = -8 meV per atom

Cell: 9.429 9.429 3.244 Å, 90.00 90.00 120.00°
Positions (direct):
1 Li 0.000 0.000 0.000
2 Sn 0.000 0.330 0.500
3 Sn 0.000 0.670 0.500
4 Sn 0.330 0.000 0.500
5 Sn 0.330 0.330 0.500
6 Sn 0.670 0.000 0.500
7 Sn 0.670 0.670 0.500
8 Pb 0.333 0.667 0.000
9 Pb 0.667 0.333 0.000

Entry from Alexandria: an optimized crystal structure of ZnAg3Sn (GGA-PBE).

electronic total energy = -2.754 eV/atom
energy above the lowest structure with this stoichiometry = 0.000 eV/atom
crystal system = monoclinic
ΔE_f = 12 meV per atom

Cell: 6.824 4.228 6.967 Å, 90.00 105.80 90.00°
Positions (direct):
1 Zn 0.049 0.250 0.110
2 Zn 0.951 0.750 0.890
3 Ag 0.003 0.750 0.355
4 Ag 0.328 0.750 0.167
5 Ag 0.337 0.250 0.467
6 Ag 0.663 0.750 0.533
7 Ag 0.672 0.250 0.833
8 Ag 0.997 0.250 0.645
9 Sn 0.346 0.750 0.765
10 Sn 0.654 0.250 0.235

Ordered density of states at the Fermi level results: 5.3 6.3 8.6 7.8 4.7 3.0; unit states/eV per cell.